No. 1
# CoNi3Te

An optimized crystal structure of CoNi3Te (PBE, the Alexandria database).

DOS(E_F) (states/eV/cell): 5.16
Size of the total moment (Bohr magnetons per cell): 3.7
E_form (uncorrected) (eV per atom): 0.767
Energy relative to the lowest polymorph listed for this composition (kJ per mole of atoms): 0.0

abc: 4.3313 4.3313 4.3313
angles: 90.00 90.00 90.00
Closest atoms and distances in Å follow each position.
Space group Pm-3m (No. 221)
Unique sites:
Co1 0.0000 0.0000 0.0000  6 Ni 2.17
Ni1 0.0000 0.0000 0.5000  2 Co 2.17
Te1 0.5000 0.5000 0.5000  12 Ni 3.06

=====

No. 2
# Co2NiTe

An optimized crystal structure of Co2NiTe (PBE, the Alexandria database).

DOS(E_F) (states/eV/cell): 4.20
Size of the total moment (Bohr magnetons per cell): 2.8
E_form (uncorrected) (eV per atom): 0.366

abc: 3.6446 4.3079 3.7630
angles: 90.00 92.24 90.00
Closest atoms and distances in Å follow each position.
Space group P2/m (No. 10)
Unique sites:
Co1 0.2403 0.0000 0.1964  2 Co 2.25-2.45, 2 Ni 2.48
Ni1 0.5000 0.5000 0.0000  4 Co 2.48, 4 Te 2.57-2.67
Te1 0.0000 0.5000 0.5000  4 Ni 2.57-2.67, 4 Co 2.61

=====

No. 3
# CoNiTe6

An optimized crystal structure of CoNiTe6 (PBE, the Alexandria database).

DOS(E_F) (states/eV/cell): 14.82
Size of the total moment (Bohr magnetons per cell): 0.0
E_form (uncorrected) (eV per atom): -0.092

abc: 6.4723 6.4723 15.8126
angles: 90.00 90.00 120.00
Closest atoms and distances in Å follow each position.
Space group R-3 (No. 148, hexagonal axes)
Unique sites:
Co1 0.0000 0.0000 0.0000  6 Te 2.56
Ni1 0.0000 0.0000 0.5000  6 Te 2.61
Te1 0.0063 0.6900 0.7500  1 Co 2.56, 1 Ni 2.61

=====

No. 4
# CoNi3Te6

An optimized crystal structure of CoNi3Te6 (PBE, the Alexandria database).

DOS(E_F) (states/eV/cell): 13.47
Size of the total moment (Bohr magnetons per cell): 0.0
E_form (uncorrected) (eV per atom): -0.099
Energy relative to the lowest polymorph listed for this composition (kJ per mole of atoms): 0.0

abc: 6.5731 6.7252 11.7579
angles: 90.00 123.77 90.00
Closest atoms and distances in Å follow each position.
Space group P2_1/c (No. 14)
Unique sites:
Co1 0.0000 0.0000 0.0000  6 Te 2.51-2.67
Ni1 0.2996 0.0746 0.8004  5 Te 2.51-2.75
Ni2 0.5000 0.0000 0.5000  6 Te 2.51-2.76
Te1 0.0974 0.0755 0.2402  1 Co 2.58, 3 Ni 2.58-2.76
Te2 0.2996 0.6880 0.1122  3 Ni 2.65-2.83, 1 Co 2.67
Te3 0.3751 0.1678 0.0400  1 Co 2.51, 3 Ni 2.51-2.65